First-principles (GGA-PBE) data for BaLiPaSe3 after structural relaxation, as listed in Alexandria via LeMat-Bulk.

Unit cell a=8.9786 b=4.2125 c=9.3621 alpha=90.00 beta=107.08 gamma=90.00
Last column: nearest neighbours and their distance in Å.
Space group P2_1/m (No. 11)
Unique sites:
1 Ba 0.1908 0.2500 0.2442  7 Se 3.28-3.39, 1 Li 3.67
2 Li 0.0855 0.2500 0.5940  4 Se 2.52-2.57
3 Pa 0.3447 0.7500 0.8571  6 Se 2.91-2.96
4 Se 0.1177 0.2500 0.8706  1 Li 2.52
5 Se 0.2102 0.7500 0.5327  3 Li 2.53-2.57
6 Se 0.4453 0.7500 0.1825  3 Pa 2.91-2.92

Properties
V in A^3/atom: 28.21
Magnetic moment in μB per formula unit: 1.8
Density in g/cm³: 6.01
Total DFT energy (no corrections) in eV per atom: -5.481
Formation energy without anion corrections in eV per atom: -1.517